# 1
The following is a PBE-GGA calculation of a relaxed Pr5DyAl6 crystal, from Alexandria.

The value obtained for the density of states at the Fermi level is 3.9 states/eV/f.u. The calculation puts the total energy at -4.592 eV/atom.

The structure belongs to space group Immm (No. 71); the cell edges are 5.286, 7.441 and 15.841 Å and the angles 90.00°, 90.00° and 90.00°. The asymmetric unit holds Pr at (0.000, 0.000, 0.000), Pr at (0.000, 0.000, 0.326), Pr at (0.000, 0.500, 0.337), Dy at (0.000, 0.500, 0.000), Al at (0.000, 0.230, 0.500) and Al at (0.000, 0.260, 0.163).

# 2
The following is a PBE-GGA calculation of a relaxed Sm2TmS crystal, from Alexandria.

The value obtained for the density of states at the Fermi level is 4.4 states/eV/f.u. The calculation puts the total energy at -5.209 eV/atom. The formation energy from raw total energies is -0.700 eV per atom.

The structure belongs to space group R-3m (No. 166, hexagonal axes); the cell edges are 3.7435, 3.7435 and 29.9860 Å and the angles 90.00°, 90.00° and 120.00°. The asymmetric unit holds Sm at (0.0000, 0.0000, 0.1108), Tm at (0.0000, 0.0000, 0.0000) and S at (0.0000, 0.0000, 0.5000).

# 3
The following is a PBE-GGA calculation of a relaxed CoSbCl2 crystal, from Alexandria.

The value obtained for the density of states at the Fermi level is 6.3 states/eV/f.u. The calculation puts the total energy at -3.183 eV/atom. The formation energy from raw total energies is 0.548 eV per atom.

The structure belongs to space group P4/mmm (No. 123); the cell edges are 5.072, 5.072 and 3.206 Å and the angles 90.00°, 90.00° and 90.00°. The asymmetric unit holds Co at (0.000, 0.000, 0.000), Sb at (0.500, 0.500, 0.000) and Cl at (0.000, 0.500, 0.500).